A | Material: PmZr2Fe
Method: DFT, GGA-PBE
State: optimized geometry

a = 4.0714 Å, b = 4.0714 Å, c = 7.0811 Å
α = 73.29°, β = 73.29°, γ = 60.00°
Atoms (fractional coordinates):
Zr 0.2165 0.2165 0.3505
Zr 0.7835 0.7835 0.6495
Fe 0.5000 0.5000 0.5000
Pm 0.0000 0.0000 0.0000

Computed properties:
- Crystal system: trigonal

B | Material: PmZr2Fe
Method: DFT, GGA-PBE
State: optimized geometry

a = 3.2723 Å, b = 3.2723 Å, c = 8.2509 Å
α = 90.00°, β = 90.00°, γ = 90.00°
Each line ends with the local moment (μB).
Atoms (fractional coordinates):
Zr 0.0000 0.0000 0.1826  -0.25
Zr 0.0000 0.0000 0.8174  -0.25
Pm 0.5000 0.5000 0.5000  -0.02
Fe 0.5000 0.5000 0.0000  1.18

Computed properties:
- Crystal system: tetragonal

B (153 meV per atom below the next structure)

A | Material: PrTm2Fe
Method: DFT, GGA-PBE
State: optimized geometry

a = 3.3460 Å, b = 3.3460 Å, c = 9.0529 Å
α = 90.00°, β = 90.00°, γ = 90.00°
Atoms (fractional coordinates):
Tm 0.0000 0.0000 0.8265
Tm 0.0000 0.0000 0.1735
Pr 0.5000 0.5000 0.5000
Fe 0.5000 0.5000 0.0000

Computed properties:
- Crystal system: tetragonal

B | Material: PrTm2Fe
Method: DFT, GGA-PBE
State: optimized geometry

a = 3.4636 Å, b = 3.4636 Å, c = 10.8036 Å
α = 80.78°, β = 80.78°, γ = 60.00°
Each line ends with the local moment (μB).
Atoms (fractional coordinates):
Fe 0.5000 0.5000 0.5000  1.46
Pr 0.0000 0.0000 0.0000  0.01
Tm 0.1099 0.1099 0.6704  -0.24
Tm 0.8901 0.8901 0.3296  -0.24

Computed properties:
- Crystal system: trigonal

A (254 meV per atom below the next structure)

A | Material: PrUFe4
Method: DFT, GGA-PBE
State: optimized geometry

a = 6.8739 Å, b = 6.4330 Å, c = 5.9378 Å
α = 122.80°, β = 69.68°, γ = 90.00°
Each line ends with the local moment (μB).
Atoms (fractional coordinates):
Pr 0.8025 0.7932 0.5864  -0.17
Pr 0.1975 0.2068 0.4136  -0.17
Fe 0.2833 0.7498 0.4997  1.28
Fe 0.6037 0.8816 0.2044  0.99
Fe 0.3963 0.6771 0.7956  0.99
Fe 0.0000 0.1768 0.0000  2.20
Fe 0.3963 0.1184 0.7956  0.99
Fe 0.6037 0.3229 0.2044  0.99
Fe 0.0000 0.8232 0.0000  2.20
Fe 0.7167 0.2502 0.5003  1.28
U 0.2754 0.5267 0.0534  -1.07
U 0.7246 0.4733 0.9466  -1.07

Computed properties:
- Crystal system: monoclinic

B | Material: PrUFe4
Method: DFT, GGA-PBE
State: optimized geometry

a = 5.1421 Å, b = 5.1421 Å, c = 5.1421 Å
α = 60.00°, β = 60.00°, γ = 60.00°
Each line ends with the local moment (μB).
Atoms (fractional coordinates):
U 0.2500 0.2500 0.2500  -2.50
Pr 0.0000 0.0000 0.0000  -0.29
Fe 0.6243 0.1272 0.6243  2.04
Fe 0.6243 0.6243 0.6243  2.04
Fe 0.6243 0.6243 0.1272  2.04
Fe 0.1272 0.6243 0.6243  2.04

Computed properties:
- Crystal system: cubic

A (19 meV per atom below the next structure)

A | Material: PrZr2Fe
Method: DFT, GGA-PBE
State: optimized geometry

a = 3.2838 Å, b = 3.2838 Å, c = 8.3200 Å
α = 90.00°, β = 90.00°, γ = 90.00°
Each line ends with the local moment (μB).
Atoms (fractional coordinates):
Fe 0.5000 0.5000 0.0000  1.19
Zr 0.0000 0.0000 0.8196  -0.26
Zr 0.0000 0.0000 0.1804  -0.26
Pr 0.5000 0.5000 0.5000  -0.02

Computed properties:
- Crystal system: tetragonal

B | Material: PrZr2Fe
Method: DFT, GGA-PBE
State: optimized geometry

a = 3.3200 Å, b = 3.3200 Å, c = 10.1696 Å
α = 80.61°, β = 80.61°, γ = 60.00°
Each line ends with the local moment (μB).
Atoms (fractional coordinates):
Zr 0.1098 0.1098 0.6707  -0.09
Zr 0.8902 0.8902 0.3293  -0.09
Fe 0.5000 0.5000 0.5000  0.46
Pr 0.0000 0.0000 0.0000  0.01

Computed properties:
- Crystal system: trigonal

A (251 meV per atom below the next structure)

A | Material: FePt4
Method: DFT, GGA-PBE
State: optimized geometry

a = 5.3602 Å, b = 4.7757 Å, c = 8.6293 Å
α = 123.54°, β = 92.05°, γ = 116.60°
Each line ends with the local moment (μB).
Atoms (fractional coordinates):
Pt 0.4001 0.3769 0.9499  0.33
Pt 0.1972 0.5747 0.7494  0.34
Pt 0.6032 0.1790 0.1508  0.34
Pt 0.3999 0.2400 0.4500  0.41
Pt 0.7799 0.9715 0.3560  0.38
Pt 0.0200 0.7795 0.5440  0.37
Pt 0.7999 0.8167 0.8454  0.36
Pt 0.0001 0.6261 0.0546  0.36
Fe 0.1907 0.4030 0.2399  3.24
Fe 0.6089 0.0325 0.6601  3.24

Computed properties:
- Crystal system: triclinic

B | Material: FePt4
Method: DFT, GGA-PBE
State: optimized geometry

a = 4.5281 Å, b = 4.5281 Å, c = 4.5281 Å
α = 90.00°, β = 90.00°, γ = 90.00°
Each line ends with the local moment (μB).
Atoms (fractional coordinates):
Fe 0.5000 0.5000 0.5000  2.54
Pt 0.5000 0.5000 0.0000  0.28
Pt 0.0000 0.5000 0.5000  0.28
Pt 0.5000 0.0000 0.5000  0.28
Pt 0.0000 0.0000 0.0000  0.02

Computed properties:
- Crystal system: cubic

C | Material: FePt4
Method: DFT, GGA-PBE
State: optimized geometry

a = 3.9155 Å, b = 4.8114 Å, c = 4.8114 Å
α = 99.53°, β = 114.01°, γ = 65.99°
Each line ends with the local moment (μB).
Atoms (fractional coordinates):
Pt 0.3958 0.4015 0.1931  0.26
Pt 0.6042 0.5985 0.8069  0.26
Pt 0.7973 0.8069 0.4015  0.26
Pt 0.2027 0.1931 0.5985  0.26
Fe 0.0000 0.0000 0.0000  3.15

Computed properties:
- Crystal system: tetragonal

D | Material: FePt4
Method: DFT, GGA-PBE
State: optimized geometry

a = 6.0930 Å, b = 5.2174 Å, c = 5.2174 Å
α = 90.00°, β = 90.00°, γ = 90.00°
Each line ends with the local moment (μB).
Atoms (fractional coordinates):
Pt 0.2900 0.1814 0.6814  0.23
Pt 0.2900 0.6814 0.8186  0.23
Pt 0.2900 0.3186 0.1814  0.23
Pt 0.7100 0.6814 0.1814  0.23
Pt 0.7100 0.1814 0.3186  0.23
Pt 0.2900 0.8186 0.3186  0.23
Pt 0.7100 0.8186 0.6814  0.23
Pt 0.7100 0.3186 0.8186  0.23
Fe 0.0000 0.5000 0.5000  3.25
Fe 0.0000 0.0000 0.0000  3.25

Computed properties:
- Crystal system: tetragonal

C (26 meV per atom below the next structure)

A | Material: FePt4
Method: DFT, GGA-PBE
State: optimized geometry

a = 4.8488 Å, b = 4.8488 Å, c = 4.8488 Å
α = 109.47°, β = 109.47°, γ = 109.47°
Each line ends with the local moment (μB).
Atoms (fractional coordinates):
Fe 0.0000 0.0000 0.0000  2.23
Pt 0.5000 0.0000 0.0000  0.04
Pt 0.0000 0.5000 0.0000  0.04
Pt 0.0000 0.0000 0.5000  0.04
Pt 0.5000 0.5000 0.5000  0.04

Computed properties:
- Crystal system: cubic

B | Material: FePt4
Method: DFT, GGA-PBE
State: optimized geometry

a = 7.0908 Å, b = 7.0908 Å, c = 7.0908 Å
α = 150.33°, β = 150.33°, γ = 42.46°
Each line ends with the local moment (μB).
Atoms (fractional coordinates):
Pt 0.4049 0.4049 0.0000  0.26
Pt 0.2500 0.7500 0.5000  0.10
Pt 0.7500 0.2500 0.5000  0.10
Pt 0.5951 0.5951 0.0000  0.26
Fe 0.0000 0.0000 0.0000  3.40

Computed properties:
- Crystal system: tetragonal

B (31 meV per atom below the next structure)

A | Material: Fe3Pt4
Method: DFT, GGA-PBE
State: optimized geometry

a = 4.7875 Å, b = 4.7875 Å, c = 5.0529 Å
α = 90.00°, β = 90.00°, γ = 120.00°
Each line ends with the local moment (μB).
Atoms (fractional coordinates):
Fe 0.0000 0.5000 0.0000  2.82
Fe 0.5000 0.5000 0.0000  2.82
Fe 0.5000 0.0000 0.0000  2.82
Pt 0.0000 0.0000 0.7464  0.28
Pt 0.3333 0.6667 0.5000  0.28
Pt 0.6667 0.3333 0.5000  0.28
Pt 0.0000 0.0000 0.2536  0.28

Computed properties:
- Crystal system: hexagonal

B | Material: Fe3Pt4
Method: DFT, GGA-PBE
State: optimized geometry

a = 10.1104 Å, b = 10.1104 Å, c = 10.1104 Å
α = 161.66°, β = 161.66°, γ = 26.05°
Each line ends with the local moment (μB).
Atoms (fractional coordinates):
Fe 0.0000 0.0000 0.0000  3.16
Fe 0.2868 0.2868 0.0000  2.97
Fe 0.7132 0.7132 0.0000  2.97
Pt 0.8477 0.8477 0.0000  0.36
Pt 0.4305 0.4305 0.0000  0.26
Pt 0.5695 0.5695 0.0000  0.26
Pt 0.1523 0.1523 0.0000  0.36

Computed properties:
- Crystal system: tetragonal

B (39 meV per atom below the next structure)

A | Material: Fe4Pt3
Method: DFT, GGA-PBE
State: optimized geometry

a = 5.2395 Å, b = 6.8037 Å, c = 6.8037 Å
α = 113.65°, β = 104.87°, γ = 104.87°
Each line ends with the local moment (μB).
Atoms (fractional coordinates):
Fe 0.5000 0.0000 0.0000  2.95
Fe 0.0320 0.2748 0.4047  3.00
Fe 0.2428 0.8700 0.2748  3.00
Fe 0.9680 0.7252 0.5953  3.00
Fe 0.0000 0.0000 0.0000  2.71
Fe 0.3727 0.4047 0.1300  3.00
Fe 0.6273 0.5953 0.8700  3.00
Fe 0.7572 0.1300 0.7252  3.00
Pt 0.5569 0.2984 0.4477  0.40
Pt 0.4431 0.7016 0.5523  0.40
Pt 0.2585 0.1493 0.7016  0.40
Pt 0.7415 0.8507 0.2984  0.40
Pt 0.1092 0.5523 0.8507  0.40
Pt 0.8908 0.4477 0.1493  0.40

Computed properties:
- Crystal system: trigonal

B | Material: Fe4Pt3
Method: DFT, GGA-PBE
State: optimized geometry

a = 5.1724 Å, b = 5.1724 Å, c = 4.5495 Å
α = 90.00°, β = 90.00°, γ = 120.00°
Each line ends with the local moment (μB).
Atoms (fractional coordinates):
Fe 0.0000 0.0000 0.2541  2.95
Fe 0.0000 0.0000 0.7459  2.95
Fe 0.3333 0.6667 0.5000  3.12
Fe 0.6667 0.3333 0.5000  3.12
Pt 0.5000 0.5000 0.0000  0.37
Pt 0.5000 0.0000 0.0000  0.37
Pt 0.0000 0.5000 0.0000  0.37

Computed properties:
- Crystal system: hexagonal

C | Material: Fe4Pt3
Method: DFT, GGA-PBE
State: optimized geometry

a = 11.6531 Å, b = 11.6531 Å, c = 11.6531 Å
α = 165.73°, β = 165.73°, γ = 20.24°
Each line ends with the local moment (μB).
Atoms (fractional coordinates):
Pt 0.2946 0.2946 0.0000  0.36
Pt 0.7054 0.7054 0.0000  0.36
Pt 0.0000 0.0000 0.0000  0.47
Fe 0.5736 0.5736 0.0000  2.83
Fe 0.1349 0.1349 0.0000  2.84
Fe 0.8651 0.8651 0.0000  2.84
Fe 0.4264 0.4264 0.0000  2.83

Computed properties:
- Crystal system: tetragonal

C (25 meV per atom below the next structure)